# ScGa2CoCu4, optimized geometry, DFT PBE
data_ScGa2CoCu4
_symmetry_space_group_name_H-M 'P 1'
_symmetry_Int_Tables_number 1
_cell_length_a 4.2366
_cell_length_b 4.2366
_cell_length_c 5.9814
_cell_angle_alpha 90.00
_cell_angle_beta 90.00
_cell_angle_gamma 90.00
loop_
_symmetry_equiv_pos_as_xyz
'x,y,z'
loop_
_atom_site_label
_atom_site_type_symbol
_atom_site_fract_x
_atom_site_fract_y
_atom_site_fract_z
Ga1 Ga 0.0000 0.0000 0.0000
Co1 Co 0.0000 0.0000 0.5000
Cu1 Cu 0.0000 0.5000 0.7313
Ga2 Ga 0.5000 0.5000 0.5000
Cu2 Cu 0.5000 0.0000 0.7313
Cu3 Cu 0.5000 0.0000 0.2687
Sc1 Sc 0.5000 0.5000 0.0000
Cu4 Cu 0.0000 0.5000 0.2687
# **Density**: 7.70 g/cm³
# **DFT total energy**: -35.19 eV per cell
# **Size of the total moment**: 0.0 μB/f.u.